(1)
VASP calculation (PBE-GGA) on a relaxed structure of SmGdZr2Sb2.

a = 8.9538 Å, b = 8.9538 Å, c = 8.9538 Å
α = 152.17°, β = 152.17°, γ = 39.76°
Atoms (fractional coordinates):
Sb: 0.1310 0.1310 0.0000
Sb: 0.8693 0.8693 0.0000
Sm: 0.3224 0.3224 0.0000
Zr: 0.0003 0.5003 0.5000
Zr: 0.5003 0.0003 0.5000
Gd: 0.6766 0.6766 0.0000

Output
Theoretical density ... 7.80 Mg/m³

(2)
VASP calculation (PBE-GGA) on a relaxed structure of CoB2Sb.

a = 4.1129 Å, b = 4.1129 Å, c = 4.1129 Å
α = 60.00°, β = 60.00°, γ = 60.00°
Atoms (fractional coordinates):
Sb: 0.5000 0.5000 0.5000
B: 0.7500 0.7500 0.7500
B: 0.0000 0.0000 0.0000
Co: 0.2500 0.2500 0.2500

Output
Theoretical density ... 6.83 Mg/m³

(3)
VASP calculation (PBE-GGA) on a relaxed structure of TbEr2Al3CuGe2.

a = 4.1685 Å, b = 6.9826 Å, c = 6.9826 Å
α = 120.07°, β = 90.00°, γ = 90.00°
Atoms (fractional coordinates):
Tb: 0.0000 0.5964 0.5964
Cu: 0.0000 0.0022 0.0022
Ge: 0.5000 0.6672 0.3313
Ge: 0.5000 0.3313 0.6672
Al: 0.5000 0.7679 0.0010
Al: 0.5000 0.2319 0.2319
Al: 0.5000 0.0010 0.7679
Er: 0.0000 0.9995 0.4026
Er: 0.0000 0.4026 0.9995

Output
Theoretical density ... 7.39 Mg/m³

(4)
VASP calculation (PBE-GGA) on a relaxed structure of Na4AlGaAg2.

a = 4.9309 Å, b = 4.9309 Å, c = 6.9668 Å
α = 90.00°, β = 90.00°, γ = 90.00°
Atoms (fractional coordinates):
Na: 0.0000 0.0000 0.5000
Na: 0.5000 0.0000 0.2552
Na: 0.5000 0.5000 0.0000
Na: 0.0000 0.5000 0.7448
Ag: 0.5000 0.0000 0.7556
Ag: 0.0000 0.5000 0.2444
Al: 0.0000 0.0000 0.0000
Ga: 0.5000 0.5000 0.5000

Output
Theoretical density ... 3.96 Mg/m³

(5)
VASP calculation (PBE-GGA) on a relaxed structure of NaHfReTe.

a = 4.7947 Å, b = 4.7947 Å, c = 4.7947 Å
α = 60.00°, β = 60.00°, γ = 60.00°
Atoms (fractional coordinates):
Te: 0.0000 0.0000 0.0000
Hf: 0.2500 0.2500 0.2500
Re: 0.5000 0.5000 0.5000
Na: 0.7500 0.7500 0.7500

Output
Distance to the lowest polymorph of the same formula ... 0.223 eV/atom
Theoretical density ... 10.98 Mg/m³

(6)
VASP calculation (PBE-GGA) on a relaxed structure of SrZrPd2.

a = 4.8198 Å, b = 4.8198 Å, c = 4.8198 Å
α = 60.00°, β = 60.00°, γ = 60.00°
Atoms (fractional coordinates):
Pd: 0.7500 0.7500 0.7500
Pd: 0.0000 0.0000 0.0000
Zr: 0.2500 0.2500 0.2500
Sr: 0.5000 0.5000 0.5000

Output
Theoretical density ... 8.21 Mg/m³

(7)
VASP calculation (PBE-GGA) on a relaxed structure of SrHfCd2.

a = 5.2575 Å, b = 5.2575 Å, c = 5.2575 Å
α = 60.00°, β = 60.00°, γ = 60.00°
Atoms (fractional coordinates):
Sr: 0.2500 0.2500 0.2500
Cd: 0.0000 0.0000 0.0000
Cd: 0.7500 0.7500 0.7500
Hf: 0.5000 0.5000 0.5000

Output
Theoretical density ... 7.93 Mg/m³

(8)
VASP calculation (PBE-GGA) on a relaxed structure of ZrNiGePt.

a = 4.4942 Å, b = 4.4942 Å, c = 4.4942 Å
α = 60.00°, β = 60.00°, γ = 60.00°
Atoms (fractional coordinates):
Pt: 0.2500 0.2500 0.2500
Ni: 0.7500 0.7500 0.7500
Ge: 0.0000 0.0000 0.0000
Zr: 0.5000 0.5000 0.5000

Output
Theoretical density ... 10.80 Mg/m³

(9)
VASP calculation (PBE-GGA) on a relaxed structure of DyHo6Te2Ir2.

a = 9.3627 Å, b = 9.3627 Å, c = 9.3627 Å
α = 155.79°, β = 66.25°, γ = 119.39°
Atoms (fractional coordinates):
Ho: 0.1331 0.2648 0.8683
Ho: 0.3699 0.0544 0.3154
Ho: 0.7390 0.0544 0.6846
Ho: 0.0603 0.4139 0.6464
Ho: 0.7676 0.4139 0.3536
Ho: 0.3965 0.2648 0.1317
Dy: 0.6824 0.6824 0.0000
Ir: 0.9919 0.7542 0.2378
Ir: 0.5164 0.7542 0.7622
Te: 0.0194 0.0194 0.0000
Te: 0.4181 0.9181 0.5000

Output
Theoretical density ... 10.23 Mg/m³

(10)
VASP calculation (PBE-GGA) on a relaxed structure of SrGdB.

a = 4.7529 Å, b = 4.7529 Å, c = 4.7529 Å
α = 60.00°, β = 60.00°, γ = 60.00°
Atoms (fractional coordinates):
B: 0.0000 0.0000 0.0000
Sr: 0.7500 0.7500 0.7500
Gd: 0.2500 0.2500 0.2500

Output
Theoretical density ... 5.59 Mg/m³

(11)
VASP calculation (PBE-GGA) on a relaxed structure of LaMgScPt.

a = 4.9562 Å, b = 4.9562 Å, c = 4.9562 Å
α = 60.00°, β = 60.00°, γ = 60.00°
Atoms (fractional coordinates):
Sc: 0.0000 0.0000 0.0000
La: 0.2500 0.2500 0.2500
Pt: 0.5000 0.5000 0.5000
Mg: 0.7500 0.7500 0.7500

Output
Distance to the lowest polymorph of the same formula ... 0.033 eV/atom
Theoretical density ... 7.78 Mg/m³

(12)
VASP calculation (PBE-GGA) on a relaxed structure of Cu2SF2.

a = 6.1072 Å, b = 6.1072 Å, c = 6.1072 Å
α = 129.08°, β = 72.54°, γ = 132.04°
Atoms (fractional coordinates):
Cu: 0.6274 0.7555 0.3829
Cu: 0.8726 0.2555 0.1281
Cu: 0.3726 0.2445 0.6171
Cu: 0.1274 0.7445 0.8719
F: 0.1751 0.3835 0.5586
F: 0.3249 0.8835 0.2083
F: 0.6751 0.1165 0.7917
F: 0.8249 0.6165 0.4414
S: 0.7500 0.7500 0.0000
S: 0.2500 0.2500 0.0000

Output
Theoretical density ... 5.10 Mg/m³

(13)
VASP calculation (PBE-GGA) on a relaxed structure of Y2SnPd2.

a = 7.3250 Å, b = 7.3250 Å, c = 7.3250 Å
α = 147.17°, β = 147.17°, γ = 47.11°
Atoms (fractional coordinates):
Pd: 0.7500 0.2500 0.5000
Pd: 0.2500 0.7500 0.5000
Sn: 0.0000 0.0000 0.0000
Y: 0.6107 0.6107 0.0000
Y: 0.3893 0.3893 0.0000

Output
Theoretical density ... 7.35 Mg/m³

(14)
VASP calculation (PBE-GGA) on a relaxed structure of CuAg3.

a = 8.4312 Å, b = 8.4312 Å, c = 2.8921 Å
α = 90.00°, β = 90.00°, γ = 139.87°
Atoms (fractional coordinates):
Ag: 0.2368 0.2368 0.5000
Ag: 0.5000 0.0000 0.5000
Ag: 0.6230 0.3770 0.0000
Ag: 0.7632 0.7632 0.5000
Ag: 0.0000 0.5000 0.5000
Ag: 0.3770 0.6230 0.0000
Cu: 0.1262 0.8738 0.0000
Cu: 0.8738 0.1262 0.0000

Output
Theoretical density ... 9.70 Mg/m³

(15)
VASP calculation (PBE-GGA) on a relaxed structure of HfCoB4.

a = 5.7553 Å, b = 11.1767 Å, c = 3.2229 Å
α = 90.00°, β = 90.00°, γ = 90.00°
Atoms (fractional coordinates):
B: 0.6147 0.4524 0.5000
B: 0.1147 0.0476 0.5000
B: 0.6328 0.0331 0.5000
B: 0.2103 0.3129 0.5000
B: 0.8672 0.5331 0.5000
B: 0.1328 0.4669 0.5000
B: 0.8853 0.9524 0.5000
B: 0.3853 0.5476 0.5000
B: 0.9772 0.8064 0.5000
B: 0.7103 0.1871 0.5000
B: 0.5228 0.3064 0.5000
B: 0.7897 0.6871 0.5000
B: 0.3672 0.9669 0.5000
B: 0.0228 0.1936 0.5000
B: 0.2897 0.8129 0.5000
B: 0.4772 0.6936 0.5000
Hf: 0.3718 0.1509 0.0000
Hf: 0.8718 0.3491 0.0000
Hf: 0.6282 0.8491 0.0000
Hf: 0.1282 0.6509 0.0000
Co: 0.6370 0.5898 0.0000
Co: 0.1370 0.9102 0.0000
Co: 0.3630 0.4102 0.0000
Co: 0.8630 0.0898 0.0000

Output
Distance to the lowest polymorph of the same formula ... 0.000 eV/atom
Theoretical density ... 8.99 Mg/m³

(16)
VASP calculation (PBE-GGA) on a relaxed structure of NdZrW.

a = 4.7708 Å, b = 4.7708 Å, c = 4.7708 Å
α = 60.00°, β = 60.00°, γ = 60.00°
Atoms (fractional coordinates):
W: 0.0000 0.0000 0.0000
Zr: 0.7500 0.7500 0.7500
Nd: 0.2500 0.2500 0.2500

Output
Distance to the lowest polymorph of the same formula ... 0.000 eV/atom
Theoretical density ... 9.07 Mg/m³

(17)
VASP calculation (PBE-GGA) on a relaxed structure of AlFeHgMo.

a = 4.4738 Å, b = 4.4738 Å, c = 4.4738 Å
α = 60.00°, β = 60.00°, γ = 60.00°
Atoms (fractional coordinates):
Mo: 0.5000 0.5000 0.5000
Hg: 0.2500 0.2500 0.2500
Fe: 0.7500 0.7500 0.7500
Al: 0.0000 0.0000 0.0000

Output
Distance to the lowest polymorph of the same formula ... 0.000 eV/atom
Theoretical density ... 9.95 Mg/m³

(18)
VASP calculation (PBE-GGA) on a relaxed structure of Pm4IrAu3.

a = 3.8677 Å, b = 4.7060 Å, c = 11.0050 Å
α = 90.00°, β = 90.00°, γ = 90.00°
Atoms (fractional coordinates):
Pm: 0.5000 0.5000 0.1360
Pm: 0.0000 0.0000 0.3457
Pm: 0.5000 0.0000 0.8770
Pm: 0.0000 0.5000 0.6390
Au: 0.5000 0.5000 0.4143
Au: 0.5000 0.0000 0.5869
Au: 0.0000 0.5000 0.9140
Ir: 0.0000 0.0000 0.0870

Output
Theoretical density ... 11.30 Mg/m³

(19)
VASP calculation (PBE-GGA) on a relaxed structure of Ba2Ga3SnPt2.

a = 6.5516 Å, b = 6.5516 Å, c = 7.4718 Å
α = 90.67°, β = 90.67°, γ = 38.66°
Atoms (fractional coordinates):
Ba: 0.9485 0.9485 0.7367
Ba: 0.0550 0.0550 0.2511
Ga: 0.3227 0.3227 0.4464
Ga: 0.6726 0.6726 0.9401
Ga: 0.6721 0.6721 0.5631
Sn: 0.3375 0.3375 0.0566
Pt: 0.2169 0.2169 0.7458
Pt: 0.7747 0.7747 0.2602

Output
Theoretical density ... 8.23 Mg/m³

(20)
VASP calculation (PBE-GGA) on a relaxed structure of GdMgCu.

a = 4.7209 Å, b = 4.7209 Å, c = 6.5224 Å
α = 90.00°, β = 90.00°, γ = 120.00°
Atoms (fractional coordinates):
Gd: 0.0000 0.0000 0.7517
Gd: 0.0000 0.0000 0.2517
Mg: 0.3333 0.6667 0.0031
Mg: 0.6667 0.3333 0.5031
Cu: 0.3333 0.6667 0.4952
Cu: 0.6667 0.3333 0.9952

Output
Theoretical density ... 6.47 Mg/m³

Number 1: volume 26.02 Å³ per atom, raw total energy -0.48541 Ry per atom. Number 2: volume 12.30 Å³ per atom, raw total energy -0.34374 Ry per atom. Number 3: volume 19.54 Å³ per atom, raw total energy -0.35831 Ry per atom. Number 4: volume 21.17 Å³ per atom, raw total energy -0.16071 Ry per atom. Number 5: volume 19.49 Å³ per atom, raw total energy -0.45684 Ry per atom. Number 6: volume 19.79 Å³ per atom, raw total energy -0.38463 Ry per atom. Number 7: volume 25.69 Å³ per atom, raw total energy -0.21534 Ry per atom. Number 8: volume 16.05 Å³ per atom, raw total energy -0.49614 Ry per atom. Number 9: volume 26.45 Å³ per atom, raw total energy -0.44260 Ry per atom. Number 10: volume 25.31 Å³ per atom, raw total energy -0.28576 Ry per atom. Number 11: volume 21.52 Å³ per atom, raw total energy -0.38044 Ry per atom. Number 12: volume 12.83 Å³ per atom, raw total energy -0.28812 Ry per atom. Number 13: volume 23.01 Å³ per atom, raw total energy -0.43518 Ry per atom. Number 14: volume 16.56 Å³ per atom, raw total energy -0.21858 Ry per atom. Number 15: volume 8.64 Å³ per atom, raw total energy -0.58257 Ry per atom. Number 16: volume 25.59 Å³ per atom, raw total energy -0.58923 Ry per atom. Number 17: volume 15.83 Å³ per atom, raw total energy -0.39408 Ry per atom. Number 18: volume 25.04 Å³ per atom, raw total energy -0.40498 Ry per atom. Number 19: volume 25.04 Å³ per atom, raw total energy -0.31896 Ry per atom. Number 20: volume 20.98 Å³ per atom, raw total energy -0.24973 Ry per atom.